The following is a DFT calculation (GGA-PBE) of a relaxed Li2TmGaSe4 crystal.

Geometry as POSCAR:
```
Li2TmGaSe4
1.0
7.8547 -0.0226 -0.1612
-0.0281 7.8547 -0.1612
-3.9674 -3.9702 5.6993
Li Se Ga Tm
4 8 2 2
Direct
0.5000 0.0000 0.5000
0.5000 0.0000 0.0000
0.0000 0.0000 0.5000
0.5000 0.5000 0.0000
0.7452 0.7539 0.5255
0.2539 0.2452 0.0255
0.2593 0.7520 0.0056
0.2520 0.7593 0.5056
0.2548 0.2461 0.4745
0.7480 0.2407 0.4944
0.7407 0.2480 0.9944
0.7461 0.7548 0.9745
0.0000 0.0000 0.0000
0.5000 0.5000 0.5000
0.0000 0.5000 0.5000
0.0000 0.5000 0.0000
```

Its total magnetization is 0.00 μB/cell. Its uncorrected formation energy is -1.183 eV per atom.

***

The following is a DFT calculation (GGA-PBE) of a relaxed Ge2S crystal.

Geometry as POSCAR:
```
Ge2S
1.0
4.3437 0.0000 0.0027
0.0000 6.3380 0.0000
-1.8327 0.0000 5.0140
S Ge
2 4
Direct
0.6109 0.5000 0.1601
0.1034 0.0000 0.2342
0.0247 0.0000 0.6727
0.1956 0.5000 0.7147
0.5153 0.2544 0.4809
0.5153 0.7456 0.4809
```

Its total magnetization is 0.00 μB/cell. The value obtained for the energy above the most stable polymorph in this dataset is 59.1 meV per atom. Its uncorrected formation energy is 0.012 eV per atom.

***

The following is a DFT calculation (GGA-PBE) of a relaxed Mg2MoRu crystal.

Geometry as POSCAR:
```
Mg2MoRu
1.0
-0.7461 -2.4740 -4.6701
3.8843 -3.3568 -1.4598
-3.6633 1.0955 3.7239
Ru Mo Mg
1 1 2
Direct
0.2673 0.7673 0.5000
0.4723 0.4723 0.0000
0.0180 0.0180 0.0000
0.7424 0.2424 0.5000
```

Its total magnetization is 0.00 μB/cell. The value obtained for the energy above the most stable polymorph in this dataset is 204.8 meV per atom.

***

The following is a DFT calculation (GGA-PBE) of a relaxed Tm8IrPt2 crystal.

Geometry as POSCAR:
```
Tm8IrPt2
1.0
-2.1103 0.4698 -5.4185
7.3690 -0.5330 -1.4168
-3.0031 -6.5702 2.0993
Tm Ir Pt
8 1 2
Direct
0.9894 0.7876 0.2140
0.5776 0.0815 0.3372
0.3797 0.9258 0.6705
0.9894 0.2140 0.7876
0.5776 0.3372 0.0815
0.8096 0.6471 0.6471
0.3797 0.6705 0.9258
0.1669 0.3573 0.3573
0.1547 0.0012 0.0012
0.4875 0.3183 0.6934
0.4875 0.6934 0.3183
```

Its total magnetization is 0.00 μB/cell. The value obtained for the energy above the most stable polymorph in this dataset is 93.7 meV per atom.

***

The following is a DFT calculation (GGA-PBE) of a relaxed BaNaEuIn crystal.

Geometry as POSCAR:
```
BaNaEuIn
1.0
5.9821 0.0000 0.0000
2.9911 5.1807 0.0000
2.9911 1.7269 4.8844
Ba Na Eu In
1 1 1 1
Direct
0.2500 0.2500 0.2500
0.0000 0.0000 0.0000
0.7500 0.7500 0.7500
0.5000 0.5000 0.5000
```

Its total magnetization is 7.13 μB/cell. The total energy comes out at -4.255 eV per atom.

***

The following is a DFT calculation (GGA-PBE) of a relaxed KSe2BrF crystal.

Geometry as POSCAR:
```
KSe2BrF
1.0
-0.1766 0.6748 4.4250
1.3308 -4.2203 0.6967
6.7451 2.1181 -0.0538
F K Se Br
1 1 2 1
Direct
0.0000 0.0000 0.0000
0.5000 0.5000 0.5000
0.0000 0.5000 0.0000
0.5000 0.0000 0.0000
0.0000 0.0000 0.5000
```

Its total magnetization is 0.52 μB/cell. The value obtained for the energy above the most stable polymorph in this dataset is 0.0 meV per atom. Its uncorrected formation energy is -0.423 eV per atom.

***

The highest total magnetization belongs to which entry? BaNaEuIn